[1]
{"formula": "NaLiPPd", "functional": "PBE-GGA", "state": "relaxed", "lattice_angstrom": [[-1.398, 2.066, 3.617], [-0.615, -2.256, 3.720], [2.729, 0.575, 3.395]], "species": ["P", "Pd", "Na", "Li"], "fractional_positions": [[0.750, 0.750, 0.750], [0.500, 0.500, 0.500], [0.250, 0.250, 0.250], [0.000, 0.000, 0.000]], "relative_energy_mev_per_atom": 176, "volume_a3_per_cell": 60.0, "ef_ev_per_fu": -1.4, "spacegroup": "F-43m, No. 216"}

***

[2]
{"formula": "NaLiPPd", "functional": "PBE-GGA", "state": "relaxed", "lattice_angstrom": [[-0.156, 4.068, 0.705], [-2.180, 2.450, -2.512], [-4.813, 1.521, 2.264]], "species": ["Li", "P", "Pd", "Na"], "fractional_positions": [[0.017, 0.017, 0.950], [0.614, 0.614, 0.157], [0.279, 0.279, 0.163], [0.816, 0.816, 0.553]], "relative_energy_mev_per_atom": 0, "volume_a3_per_cell": 73.8, "ef_ev_per_fu": -2.1, "spacegroup": "R3m, No. 160"}

***

[3]
{"formula": "Na2LiP2Pd5", "functional": "PBE-GGA", "state": "relaxed", "lattice_angstrom": [[-1.477, 1.452, 2.303], [3.660, -6.874, 6.679], [8.242, 5.906, 1.562]], "species": ["Li", "Li", "Pd", "Pd", "Pd", "Pd", "Pd", "Pd", "Pd", "Pd", "Pd", "Pd", "P", "P", "P", "P", "Na", "Na", "Na", "Na"], "fractional_positions": [[0.000, 0.000, 0.000], [0.000, 0.500, 0.500], [0.500, 0.793, 0.937], [0.500, 0.500, 0.000], [0.500, 0.293, 0.563], [0.500, 0.207, 0.063], [0.500, 0.563, 0.707], [0.500, 0.707, 0.437], [0.500, 0.000, 0.500], [0.500, 0.437, 0.293], [0.500, 0.063, 0.793], [0.500, 0.937, 0.207], [0.000, 0.131, 0.631], [0.000, 0.369, 0.131], [0.000, 0.631, 0.869], [0.000, 0.869, 0.369], [0.000, 0.674, 0.174], [0.000, 0.826, 0.674], [0.000, 0.174, 0.326], [0.000, 0.326, 0.826]], "volume_a3_per_cell": 326.0, "ef_ev_per_fu": -4.1, "spacegroup": "P4/mbm, No. 127"}

***

[4]
{"formula": "NaLi2PmP2", "functional": "PBE-GGA", "state": "relaxed", "lattice_angstrom": [[4.256, 0.000, 0.000], [-2.128, 3.686, 0.000], [0.000, 0.000, 7.045]], "species": ["Na", "Li", "Li", "P", "P", "Pm"], "fractional_positions": [[0.000, 0.000, 0.500], [0.667, 0.333, 0.331], [0.333, 0.667, 0.669], [0.333, 0.667, 0.244], [0.667, 0.333, 0.756], [0.000, 0.000, 0.000]], "volume_a3_per_cell": 110.5, "ef_ev_per_fu": -5.4, "spacegroup": "P-3m1, No. 164"}

***

[5]
{"formula": "Na2LiP2Pt", "functional": "PBE-GGA", "state": "relaxed", "lattice_angstrom": [[5.653, 0.000, 0.000], [0.000, 6.000, 0.000], [-2.827, -3.000, 6.808]], "species": ["Na", "Na", "Na", "Na", "Pt", "Pt", "Li", "Li", "P", "P", "P", "P"], "fractional_positions": [[0.057, 0.323, 0.647], [0.943, 0.677, 0.353], [0.590, 0.823, 0.647], [0.410, 0.177, 0.353], [0.500, 0.750, 0.000], [0.500, 0.250, 0.000], [0.000, 0.250, 0.000], [0.000, 0.750, 0.000], [0.175, 0.897, 0.794], [0.381, 0.603, 0.206], [0.825, 0.103, 0.206], [0.619, 0.397, 0.794]], "volume_a3_per_cell": 230.9, "ef_ev_per_fu": -2.7, "spacegroup": "Ibam, No. 72"}

***

[6]
{"formula": "Na2LiP3Pt4", "functional": "PBE-GGA", "state": "relaxed", "lattice_angstrom": [[4.154, 0.000, 0.000], [0.000, 4.154, 0.000], [0.000, 0.000, 9.749]], "species": ["Pt", "Pt", "Pt", "Pt", "Na", "Na", "Li", "P", "P", "P"], "fractional_positions": [[0.000, 0.500, 0.369], [0.500, 0.000, 0.631], [0.000, 0.000, 0.000], [0.500, 0.500, 0.000], [0.500, 0.000, 0.257], [0.000, 0.500, 0.743], [0.500, 0.500, 0.500], [0.500, 0.000, 0.865], [0.000, 0.500, 0.135], [0.000, 0.000, 0.500]], "volume_a3_per_cell": 168.2, "ef_ev_per_fu": -5.6, "spacegroup": "P-4m2, No. 115"}